{"formula": "LiSmHgS3", "functional": "PBE", "state": "optimized geometry", "cell": [[-3.0970, -0.1582, -2.8309], [-2.9679, -6.7602, 0.5106], [-6.8684, 3.5679, 7.3146]], "species": ["S", "Li", "S", "Hg", "S", "Li", "S", "S", "Sm", "Hg", "Sm", "S"], "frac_coords": [[0.3663, 0.2673, 0.5283], [0.6360, 0.7280, 0.7500], [0.3663, 0.2673, 0.9716], [0.3748, 0.2503, 0.7500], [0.9435, 0.1131, 0.2500], [0.3640, 0.2720, 0.2500], [0.0565, 0.8869, 0.7500], [0.6337, 0.7327, 0.4716], [0.0000, 0.0000, 0.0000], [0.6252, 0.7497, 0.2500], [0.0000, 0.0000, 0.5000], [0.6337, 0.7327, 0.0283]], "crystal_system": "orthorhombic", "energy_ev_per_atom": -4.36}



{"formula": "CuAgTePt", "functional": "PBE", "state": "optimized geometry", "cell": [[0.0000, 3.2950, 3.2950], [3.2950, 0.0000, 3.2950], [3.2950, 3.2950, 0.0000]], "species": ["Cu", "Te", "Pt", "Ag"], "frac_coords": [[0.7500, 0.7500, 0.7500], [0.0000, 0.0000, 0.0000], [0.2500, 0.2500, 0.2500], [0.5000, 0.5000, 0.5000]], "crystal_system": "cubic", "energy_ev_per_atom": -3.80}



{"formula": "MgTcB", "functional": "PBE", "state": "optimized geometry", "cell": [[0.0000, 2.6810, 2.6810], [2.6810, 0.0000, 2.6810], [2.6810, 2.6810, 0.0000]], "species": ["Mg", "Tc", "B"], "frac_coords": [[0.2500, 0.2500, 0.2500], [0.7500, 0.7500, 0.7500], [0.0000, 0.0000, 0.0000]], "crystal_system": "cubic", "energy_ev_per_atom": -5.99}